Compound: Tl7Hg2Au2
Source: Alexandria via LeMat-Bulk
Functional: GGA-PBE
Structure: optimized geometry

Results
For the calculated density, the calculation gives 10.876 g/cm3. For the formation energy, the calculation gives 22 meV/atom. The value obtained for the distance to the lowest polymorph of the same formula is 0.026 eV per atom.

a b c (Å): 6.918 6.918 7.200
angles (deg): 90.00 90.00 80.48
Atoms (fractional coordinates):
Tl1 0.500 0.500 0.265
Tl2 0.500 0.000 0.265
Tl3 0.500 0.000 0.735
Tl4 0.500 0.500 0.735
Tl5 0.000 0.500 0.265
Tl6 0.000 0.500 0.735
Tl7 0.000 0.000 0.000
Hg1 0.167 0.833 0.500
Hg2 0.833 0.167 0.500
Au1 0.280 0.280 0.000
Au2 0.720 0.720 0.000



Compound: MgCoNi2
Source: Alexandria via LeMat-Bulk
Functional: GGA-PBE
Structure: optimized geometry

Results
For the calculated density, the calculation gives 6.165 g/cm3. For the formation energy, the calculation gives 418 meV/atom.

a b c (Å): 3.581 3.581 8.801
angles (deg): 78.26 78.26 90.00
Atoms (fractional coordinates):
Ni1 0.102 0.625 0.250
Ni2 0.375 0.352 0.750
Ni3 0.648 0.125 0.250
Ni4 0.875 0.898 0.750
Mg1 0.500 0.500 0.000
Mg2 0.250 0.750 0.500
Co1 0.750 0.250 0.500
Co2 0.000 0.000 0.000



Compound: BeIn
Source: Alexandria via LeMat-Bulk
Functional: GGA-PBE
Structure: optimized geometry

Results
For the calculated density, the calculation gives 6.037 g/cm3. For the formation energy, the calculation gives 300 meV/atom. The value obtained for the distance to the lowest polymorph of the same formula is 0.015 eV per atom.

a b c (Å): 4.168 4.168 4.529
angles (deg): 90.00 90.00 120.00
Atoms (fractional coordinates):
Be1 0.000 0.000 0.000
Be2 0.000 0.000 0.500
In1 0.333 0.667 0.750
In2 0.667 0.333 0.250



Compound: Mn2TlBr6
Source: Alexandria via LeMat-Bulk
Functional: GGA-PBE
Structure: optimized geometry

Results
For the calculated density, the calculation gives 4.479 g/cm3. Its electronic total energy is -4.158 eV per atom.

a b c (Å): 7.283 6.830 6.830
angles (deg): 120.00 90.00 90.00
Atoms (fractional coordinates):
Mn1 0.500 0.667 0.333
Mn2 0.500 0.333 0.667
Br1 0.293 0.624 0.000
Br2 0.707 0.376 0.000
Br3 0.293 0.000 0.624
Br4 0.707 0.000 0.376
Br5 0.707 0.624 0.624
Br6 0.293 0.376 0.376
Tl1 0.000 0.000 0.000